This record from the Alexandria database describes a relaxed CaAcMgSn2 crystal. The functional is PBE.

Cell: 4.806 4.806 7.525 Å, 108.62 108.62 90.00°
Positions (direct):
Mg1 0.250 0.750 0.500
Ca1 0.750 0.250 0.500
Sn1 0.392 0.392 0.784
Ac1 0.000 0.000 0.000
Sn2 0.608 0.608 0.216

Properties
* space group: I-4m2
* ΔH_f (0 K): -2.6 eV per formula unit
* calculated volume: 155 Å³ per cell

=====

This record from the Alexandria database describes a relaxed SrCaAcMg crystal. The functional is PBE.

Cell: 4.071 4.071 9.844 Å, 90.00 90.00 90.00°
Positions (direct):
Ac1 0.500 0.500 0.355
Ca1 0.000 0.000 0.078
Sr1 0.500 0.500 0.784
Mg1 0.000 0.000 0.567

Properties
* space group: P4mm
* ΔH_f (0 K): 0.0 eV per formula unit
* calculated volume: 163 Å³ per cell

=====

This record from the Alexandria database describes a relaxed Sr2Ca5AcMg2 crystal. The functional is PBE.

Cell: 5.366 12.502 12.502 Å, 90.00 90.00 90.00°
Positions (direct):
Mg1 0.000 0.880 0.380
Mg2 0.000 0.380 0.120
Sr1 0.000 0.174 0.326
Ca1 0.500 0.210 0.073
Ac1 0.000 0.000 0.000
Ca2 0.500 0.500 0.000
Ca3 0.500 0.927 0.210
Ca4 0.500 0.000 0.500
Mg3 0.000 0.120 0.620
Ac2 0.000 0.500 0.500
Ca5 0.500 0.710 0.427
Sr2 0.000 0.326 0.826
Ca6 0.500 0.790 0.927
Ca7 0.500 0.573 0.710
Mg4 0.000 0.620 0.880
Ca8 0.500 0.290 0.573
Sr3 0.000 0.826 0.674
Sr4 0.000 0.674 0.174
Ca9 0.500 0.073 0.790
Ca10 0.500 0.427 0.290

Properties
* space group: P4/mbm
* ΔH_f (0 K): 0.4 eV per formula unit
* calculated volume: 839 Å³ per cell

=====

This record from the Alexandria database describes a relaxed SrCaAcMg crystal. The functional is PBE.

Cell: 6.095 6.095 6.095 Å, 60.00 60.00 60.00°
Positions (direct):
Mg1 0.000 0.000 0.000
Sr1 0.250 0.250 0.250
Ca1 0.500 0.500 0.500
Ac1 0.750 0.750 0.750

Properties
* space group: F-43m
* ΔH_f (0 K): 0.2 eV per formula unit
* calculated volume: 160 Å³ per cell

=====

This record from the Alexandria database describes a relaxed CaAcMg2Tl4 crystal. The functional is PBE.

Cell: 5.321 5.321 9.795 Å, 74.24 74.24 60.00°
Positions (direct):
Tl1 0.616 0.616 0.151
Tl2 0.873 0.873 0.380
Mg1 0.753 0.753 0.742
Tl3 0.384 0.384 0.849
Ac1 0.000 0.000 0.000
Mg2 0.247 0.247 0.258
Ca1 0.500 0.500 0.500
Tl4 0.127 0.127 0.620

Properties
* space group: R-3m
* ΔH_f (0 K): -2.2 eV per formula unit
* calculated volume: 228 Å³ per cell

=====

This record from the Alexandria database describes a relaxed CaAcTmMg crystal. The functional is PBE.

Cell: 5.813 5.813 5.813 Å, 60.00 60.00 60.00°
Positions (direct):
Ac1 0.000 0.000 0.000
Mg1 0.250 0.250 0.250
Ca1 0.500 0.500 0.500
Tm1 0.750 0.750 0.750

Properties
* space group: F-43m
* ΔH_f (0 K): 0.3 eV per formula unit
* calculated volume: 139 Å³ per cell

=====

This record from the Alexandria database describes a relaxed CaAcMg2Zn2 crystal. The functional is PBE.

Cell: 4.926 4.926 7.663 Å, 90.00 90.00 120.00°
Positions (direct):
Zn1 0.333 0.667 0.258
Mg1 0.667 0.333 0.278
Zn2 0.667 0.333 0.742
Ac1 0.000 0.000 0.000
Ca1 0.000 0.000 0.500
Mg2 0.333 0.667 0.722

Properties
* space group: P-3m1
* ΔH_f (0 K): -0.9 eV per formula unit
* calculated volume: 161 Å³ per cell

=====

This record from the Alexandria database describes a relaxed CaAcMnN4 crystal. The functional is PBE.

Cell: 5.729 5.476 7.452 Å, 90.00 100.13 90.00°
Positions (direct):
N1 0.051 0.503 0.225
N2 0.538 0.250 0.840
N3 0.664 0.250 0.499
Ca1 0.775 0.750 0.981
N4 0.949 0.497 0.775
Mn1 0.230 0.750 0.270
N5 0.336 0.750 0.501
Ac1 0.228 0.250 0.524
N6 0.051 0.997 0.225
N7 0.949 0.003 0.775
Ac2 0.772 0.750 0.476
Mn2 0.770 0.250 0.730
Ca2 0.225 0.250 0.019
N8 0.462 0.750 0.160

Properties
* space group: P2_1/m
* calculated volume: 230 Å³ per cell
* energy relative to the elements, uncorrected: -0.72 eV/atom

=====

This record from the Alexandria database describes a relaxed CaAc3Mo2N6 crystal. The functional is PBE.

Cell: 6.095 6.095 7.113 Å, 90.00 90.00 120.00°
Positions (direct):
N1 0.831 0.663 0.716
Ac1 0.667 0.333 0.312
N2 0.831 0.169 0.716
Mo1 0.333 0.667 0.199
Ca1 0.000 0.000 0.500
N3 0.169 0.337 0.284
Mo2 0.667 0.333 0.801
Ac2 0.333 0.667 0.688
N4 0.663 0.831 0.284
N5 0.169 0.831 0.284
Ac3 0.000 0.000 0.000
N6 0.337 0.169 0.716

Properties
* space group: P-3m1
* calculated volume: 229 Å³ per cell
* energy relative to the elements, uncorrected: -0.84 eV/atom